# PBE-GGA ZrGeMo, optimized geometry
data_ZrGeMo
_space_group_name_H-M_alt 'P n m a'
_space_group_IT_number 62
_space_group_name_Hall '-P 2ac 2n'
_cell_length_a 7.075
_cell_length_b 3.583
_cell_length_c 8.379
_cell_angle_alpha 90.00
_cell_angle_beta 90.00
_cell_angle_gamma 90.00
loop_
_atom_site_label
_atom_site_type_symbol
_atom_site_fract_x
_atom_site_fract_y
_atom_site_fract_z
Zr1 Zr 0.048 0.250 0.167
Ge1 Ge 0.249 0.750 0.361
Mo1 Mo 0.127 0.250 0.560
# ΔH_f (0 K)	-600	meV/atom
# D(E_F)	0.501	states/eV per atom
# mass density	8.1	g/cm³